# 1
{"formula": "CsRbCu2", "functional": "PBE", "state": "relaxed", "lattice": [[0.000, 4.259, 4.259], [4.259, 0.000, 4.259], [4.259, 4.259, 0.000]], "species": ["Cs", "Cu", "Cu", "Rb"], "frac_coords": [[0.500, 0.500, 0.500], [0.250, 0.250, 0.250], [0.750, 0.750, 0.750], [0.000, 0.000, 0.000]], "e_tot_ev_per_cell": -8.08, "total_magnetization_mub_per_cell": 0.00}



# 2
{"formula": "SrMg2Cd2", "functional": "PBE", "state": "relaxed", "lattice": [[-7.825, 3.695, -2.010], [-1.009, -5.771, -6.678], [-1.493, -2.067, 2.012]], "species": ["Mg", "Cd", "Cd", "Cd", "Mg", "Sr", "Sr", "Cd", "Mg", "Mg"], "frac_coords": [[0.376, 0.876, 0.000], [0.329, 0.171, 0.500], [0.171, 0.671, 0.500], [0.671, 0.829, 0.500], [0.124, 0.376, 0.000], [0.000, 0.000, 0.000], [0.500, 0.500, 0.000], [0.829, 0.329, 0.500], [0.876, 0.624, 0.000], [0.624, 0.124, 0.000]], "de_polymorph_ev_per_fu": 0.484, "total_magnetization_mub_per_cell": 0.00}